An optimized crystal structure of NaDy2Ir. Source: the Alexandria database, functional PBE-GGA.

Summary:
offset from the most stable computed form: 0.0 meV per atom

a = 3.4658 Å, b = 3.4658 Å, c = 9.4964 Å
α = 90.00°, β = 90.00°, γ = 90.00°
Space group P4/mmm (No. 123)
One atom of each set of equivalent atoms:
Na 0.0000 0.0000 0.0000 [1 per cell]
Dy 0.5000 0.5000 0.3303 [2 per cell]
Ir 0.0000 0.0000 0.5000 [1 per cell]

=====

An optimized crystal structure of NaDyIr4. Source: the Alexandria database, functional PBE-GGA.

a = 7.5125 Å, b = 7.5125 Å, c = 7.5125 Å
α = 90.00°, β = 90.00°, γ = 90.00°
Space group F-43m (No. 216)
One atom of each set of equivalent atoms:
Na 0.0000 0.0000 0.0000 [4 per cell]
Dy 0.2500 0.2500 0.2500 [4 per cell]
Ir 0.1252 0.1252 0.6252 [16 per cell]

=====

An optimized crystal structure of NaDyIrO4. Source: the Alexandria database, functional PBE-GGA.

Summary:
energy relative to the elements, uncorrected: -13.2 eV per formula unit
offset from the most stable computed form: 36.8 meV per atom

a = 6.5262 Å, b = 6.8996 Å, c = 8.8668 Å
α = 90.00°, β = 90.00°, γ = 90.00°
Space group Imma (No. 74)
One atom of each set of equivalent atoms:
Na 0.0000 0.2500 0.1175 [4 per cell]
Dy 0.0000 0.0000 0.5000 [4 per cell]
Ir 0.2500 0.2500 0.7500 [4 per cell]
O 0.0000 0.0655 0.7550 [8 per cell]
O 0.2205 0.2500 0.5191 [8 per cell]

=====

| no. | total DFT energy (no corrections) (eV/atom) |
| --- | --- |
| 1 | -5.23 |
| 2 | -7.26 |
| 3 | -6.84 |